(1)
The following is a GGA-PBE calculation of a relaxed LaTb2Sn4Pb3 crystal, from OQMD.

Structure (extended XYZ):
```
10
Lattice="2.333 -12.808 0.000 2.333 12.808 0.000 0.000 0.000 4.693" Properties=species:S:1:pos:R:3 pbc="T T T"
La 0.000 0.000 0.000
Pb 2.333 -5.272 2.346
Pb 2.333 0.000 2.346
Pb 2.333 5.272 2.346
Sn 2.333 -2.512 0.000
Sn 2.333 2.512 0.000
Sn 2.333 -10.284 2.346
Sn 2.333 10.284 2.346
Tb 2.333 -8.057 0.000
Tb 2.333 8.057 0.000
```

The crystal system is orthorhombic. For the magnetic moment, the calculation gives 0.01 μB/cell. For the polymorph energy (0 for the lowest one), the calculation gives 0.005 eV per atom. The value obtained for the total energy is -46.34 eV/cell.

(2)
The following is a GGA-PBE calculation of a relaxed ScAgF3 crystal, from OQMD.

Structure (extended XYZ):
```
20
Lattice="-0.006 1.414 5.633 -1.796 -6.041 1.515 6.927 -1.936 0.494" Properties=species:S:1:pos:R:3 pbc="T T T"
Ag 0.000 0.000 0.000
Ag -0.898 -3.021 0.758
Ag 3.461 -0.261 3.063
Ag 2.562 -3.281 3.821
F 0.030 -2.871 4.068
F -0.659 -5.188 4.649
F 1.080 -1.551 2.029
F 1.479 -0.956 4.874
F 1.425 -3.967 1.351
F 0.736 -6.285 1.932
F 4.389 -0.278 5.709
F 3.700 -2.596 6.291
F 3.646 -5.606 2.767
F 4.045 -5.012 5.613
F 5.784 -1.374 2.992
F 5.095 -3.692 3.573
Sc -0.071 -0.840 3.498
Sc 2.633 -2.302 0.874
Sc 2.492 -4.260 6.767
Sc 5.196 -5.722 4.143
```

The crystal system is orthorhombic. For the magnetic moment, the calculation gives 0.01 μB/cell. For the polymorph energy (0 for the lowest one), the calculation gives 0.152 eV per atom. The value obtained for the total energy is -109.94 eV/cell.

(3)
The following is a GGA-PBE calculation of a relaxed BaFe2Mo crystal, from OQMD.

Structure (extended XYZ):
```
4
Lattice="0.000 3.282 3.282 3.282 0.000 3.282 3.282 3.282 0.000" Properties=species:S:1:pos:R:3 pbc="T T T"
Ba 4.923 4.923 4.923
Fe 0.000 0.000 0.000
Fe 1.641 1.641 1.641
Mo 3.282 3.282 3.282
```

The crystal system is cubic. For the magnetic moment, the calculation gives 3.77 μB/cell. The value obtained for the total energy is -24.31 eV/cell.

(4)
The following is a GGA-PBE calculation of a relaxed DySc3C2S2 crystal, from OQMD.

Structure (extended XYZ):
```
8
Lattice="-2.850 -1.933 -0.704 2.732 -1.443 1.677 -4.852 3.257 10.704" Properties=species:S:1:pos:R:3 pbc="T T T"
C -1.039 -1.737 0.198
C -3.397 -0.154 5.400
Dy -4.357 2.924 9.612
S -1.230 0.826 2.713
S -2.711 0.798 8.785
Sc 0.333 -1.245 2.071
Sc -1.056 -0.313 5.134
Sc -2.893 1.942 6.382
```

The crystal system is trigonal. For the magnetic moment, the calculation gives 0.01 μB/cell. The value obtained for the total energy is -60.51 eV/cell.

(5)
The following is a GGA-PBE calculation of a relaxed FeSn crystal, from OQMD.

Structure (extended XYZ):
```
4
Lattice="-3.154 -2.686 0.125 0.837 -1.123 -3.028 3.061 -3.494 2.142" Properties=species:S:1:pos:R:3 pbc="T T T"
Fe -0.345 -1.177 0.341
Fe 0.252 -5.003 1.925
Sn -1.100 -3.543 -0.828
Sn 1.843 -3.760 0.066
```

The crystal system is orthorhombic. For the magnetic moment, the calculation gives 4.42 μB/cell. The value obtained for the total energy is -23.42 eV/cell.

(6)
The following is a GGA-PBE calculation of a relaxed MgScCd2 crystal, from OQMD.

Structure (extended XYZ):
```
8
Lattice="2.405 -4.165 0.000 2.405 4.165 0.000 0.000 0.000 8.767" Properties=species:S:1:pos:R:3 pbc="T T T"
Cd 2.405 -1.388 0.791
Cd 2.405 -1.388 3.593
Cd 2.405 1.388 5.174
Cd 2.405 1.388 7.976
Mg 0.000 0.000 0.000
Mg 0.000 0.000 4.384
Sc 2.405 1.388 2.192
Sc 2.405 -1.388 6.575
```

The crystal system is hexagonal. For the magnetic moment, the calculation gives 0.01 μB/cell. The value obtained for the total energy is -20.77 eV/cell.